Record 1
Density functional theory data (GGA-PBE) for a relaxed structure of ZrPb.

Properties
**ΔE_f**: -1.1 kcal/mol of atoms
**Calculated density**: 9907 kg/m³
**Total energy**: -6.1764 eV/atom

Cell lengths 5.9728, 6.3219, 10.5978 Å; angles 90.00, 90.00, 90.00 degrees
Closest atoms and distances in Å follow each position.
Element x y z (fractional)
Pb 0.3232 0.8022 0.5803  5 Zr 2.91-3.24
Pb 0.6768 0.1978 0.4197  5 Zr 2.91-3.24
Pb 0.8232 0.8022 0.9197  5 Zr 2.91-3.24
Pb 0.1768 0.1978 0.0803  5 Zr 2.91-3.24
Pb 0.6768 0.3022 0.9197  5 Zr 2.91-3.24
Pb 0.8232 0.6978 0.4197  5 Zr 2.91-3.24
Pb 0.3232 0.6978 0.0803  5 Zr 2.91-3.24
Pb 0.1768 0.3022 0.5803  5 Zr 2.91-3.24
Zr 0.8362 0.9750 0.6655  5 Pb 2.91-3.24
Zr 0.3362 0.9750 0.8345  5 Pb 2.91-3.24
Zr 0.1638 0.0250 0.3345  5 Pb 2.91-3.24
Zr 0.8362 0.5250 0.1655  5 Pb 2.91-3.24
Zr 0.6638 0.0250 0.1655  5 Pb 2.91-3.24
Zr 0.3362 0.5250 0.3345  5 Pb 2.91-3.24
Zr 0.6638 0.4750 0.6655  5 Pb 2.91-3.24
Zr 0.1638 0.4750 0.8345  5 Pb 2.91-3.24

---

Record 2
Density functional theory data (GGA-PBE) for a relaxed structure of LiDyGaSn.

Properties
**ΔE_f**: -9.8 kcal/mol of atoms
**Calculated density**: 6645 kg/m³
**Total energy**: -3.8121 eV/atom

Cell lengths 5.0195, 5.0195, 5.0195 Å; angles 60.00, 60.00, 60.00 degrees
Closest atoms and distances in Å follow each position.
Element x y z (fractional)
Ga 0.7500 0.7500 0.7500  4 Dy 3.07, 4 Li 3.07
Dy 0.5000 0.5000 0.5000  4 Sn 3.07, 4 Ga 3.07
Sn 0.2500 0.2500 0.2500  4 Li 3.07, 4 Dy 3.07
Li 0.0000 0.0000 0.0000  4 Sn 3.07, 4 Ga 3.07

---

Record 3
Density functional theory data (GGA-PBE) for a relaxed structure of FeBiPb3.

Properties
**ΔE_f**: 6.9 kcal/mol of atoms
**Calculated density**: 10593 kg/m³
**Total energy**: -4.3960 eV/atom

Cell lengths 5.1796, 5.1796, 5.1796 Å; angles 90.00, 90.00, 90.00 degrees
Closest atoms and distances in Å follow each position.
Element x y z (fractional)
Fe 0.0000 0.0000 0.0000  6 Pb 2.59
Pb 0.0000 0.5000 0.0000  2 Fe 2.59
Pb 0.5000 0.0000 0.0000  2 Fe 2.59
Pb 0.0000 0.0000 0.5000  2 Fe 2.59
Bi 0.5000 0.5000 0.5000  12 Pb 3.66

---

> Which of these has the highest ΔE_f?

FeBiPb3

---

> Among the records above, which one has the highest calculated density?

FeBiPb3

---

> The highest total energy belongs to which entry?

LiDyGaSn